Here is a relaxed structure of AlCu2Ni from Alexandria. Energies are from PBE.

Geometry as CIF:
```
data_AlCu2Ni
_cell_length_a 2.6469
_cell_length_b 2.6469
_cell_length_c 8.1913
_cell_angle_alpha 90.00
_cell_angle_beta 90.00
_cell_angle_gamma 120.00
_symmetry_space_group_name_H-M 'P 1'
_symmetry_Int_Tables_number 1
loop_
_symmetry_equiv_pos_as_xyz
'x,y,z'
loop_
_atom_site_label
_atom_site_fract_x
_atom_site_fract_y
_atom_site_fract_z
Al1 0.0000 0.0000 0.0000
Cu1 0.3333 0.6667 0.2526
Cu2 0.3333 0.6667 0.7474
Ni1 0.0000 0.0000 0.5000
```

## Properties
Space-group type: P-6m2
DFT total energy, eV/atom: -4.448
Formation enthalpy at 0 K, eV per atom: -0.019
Magnetic moment, μB/cell: 0.4
V, Å³/atom: 12.43

---

Here is a relaxed structure of LiYP3 from Alexandria. Energies are from PBE.

Geometry as CIF:
```
data_LiYP3
_cell_length_a 4.4517
_cell_length_b 4.4517
_cell_length_c 4.4517
_cell_angle_alpha 90.00
_cell_angle_beta 90.00
_cell_angle_gamma 90.00
_symmetry_space_group_name_H-M 'P 1'
_symmetry_Int_Tables_number 1
loop_
_symmetry_equiv_pos_as_xyz
'x,y,z'
loop_
_atom_site_label
_atom_site_fract_x
_atom_site_fract_y
_atom_site_fract_z
Li1 0.0000 0.0000 0.0000
Y1 0.5000 0.5000 0.5000
P1 0.0000 0.0000 0.5000
P2 0.0000 0.5000 0.0000
P3 0.5000 0.0000 0.0000
```

## Properties
Space-group type: Pm-3m
DFT total energy, eV/atom: -4.990
Formation enthalpy at 0 K, eV per atom: -0.068
Magnetic moment, μB/cell: 0.0
V, Å³/atom: 17.64

---

Here is a relaxed structure of Y3Al5H12 from Alexandria. Energies are from PBE.

Geometry as CIF:
```
data_Y3Al5H12
_cell_length_a 10.3194
_cell_length_b 10.3194
_cell_length_c 10.3194
_cell_angle_alpha 109.47
_cell_angle_beta 109.47
_cell_angle_gamma 109.47
_symmetry_space_group_name_H-M 'P 1'
_symmetry_Int_Tables_number 1
loop_
_symmetry_equiv_pos_as_xyz
'x,y,z'
loop_
_atom_site_label
_atom_site_fract_x
_atom_site_fract_y
_atom_site_fract_z
Y1 0.1250 0.2500 0.3750
Y2 0.1250 0.3750 0.7500
Y3 0.2500 0.3750 0.1250
Y4 0.2500 0.8750 0.6250
Y5 0.3750 0.1250 0.2500
Y6 0.3750 0.7500 0.1250
Y7 0.6250 0.2500 0.8750
Y8 0.6250 0.8750 0.7500
Y9 0.7500 0.1250 0.3750
Y10 0.7500 0.6250 0.8750
Y11 0.8750 0.6250 0.2500
Y12 0.8750 0.7500 0.6250
Al1 0.0000 0.0000 0.0000
Al2 0.0000 0.0000 0.5000
Al3 0.0000 0.5000 0.0000
Al4 0.0000 0.5000 0.5000
Al5 0.1250 0.7500 0.8750
Al6 0.1250 0.8750 0.2500
Al7 0.2500 0.1250 0.8750
Al8 0.2500 0.6250 0.3750
Al9 0.3750 0.2500 0.6250
Al10 0.3750 0.6250 0.7500
Al11 0.5000 0.0000 0.0000
Al12 0.5000 0.0000 0.5000
Al13 0.5000 0.5000 0.0000
Al14 0.5000 0.5000 0.5000
Al15 0.6250 0.3750 0.2500
Al16 0.6250 0.7500 0.3750
Al17 0.7500 0.3750 0.6250
Al18 0.7500 0.8750 0.1250
Al19 0.8750 0.1250 0.7500
Al20 0.8750 0.2500 0.1250
H1 0.0404 0.2070 0.1251
H2 0.0404 0.3334 0.9153
H3 0.0819 0.7070 0.6666
H4 0.0819 0.8749 0.4153
H5 0.0847 0.6251 0.4181
H6 0.0847 0.9596 0.6666
H7 0.1251 0.0404 0.2070
H8 0.1251 0.5847 0.9181
H9 0.1666 0.2070 0.5819
H10 0.1666 0.4596 0.5847
H11 0.2070 0.1251 0.0404
H12 0.2070 0.5819 0.1666
H13 0.2930 0.3334 0.9181
H14 0.2930 0.4596 0.3749
H15 0.3334 0.9153 0.0404
H16 0.3334 0.9181 0.2930
H17 0.3749 0.2930 0.4596
H18 0.3749 0.5819 0.9153
H19 0.4153 0.0819 0.8749
H20 0.4153 0.8334 0.5404
H21 0.4181 0.0847 0.6251
H22 0.4181 0.8334 0.7930
H23 0.4596 0.3749 0.2930
H24 0.4596 0.5847 0.1666
H25 0.5404 0.4153 0.8334
H26 0.5404 0.6251 0.7070
H27 0.5819 0.1666 0.2070
H28 0.5819 0.9153 0.3749
H29 0.5847 0.1666 0.4596
H30 0.5847 0.9181 0.1251
H31 0.6251 0.4181 0.0847
H32 0.6251 0.7070 0.5404
H33 0.6666 0.0819 0.7070
H34 0.6666 0.0847 0.9596
H35 0.7070 0.5404 0.6251
H36 0.7070 0.6666 0.0819
H37 0.7930 0.4181 0.8334
H38 0.7930 0.8749 0.9596
H39 0.8334 0.5404 0.4153
H40 0.8334 0.7930 0.4181
H41 0.8749 0.4153 0.0819
H42 0.8749 0.9596 0.7930
H43 0.9153 0.0404 0.3334
H44 0.9153 0.3749 0.5819
H45 0.9181 0.1251 0.5847
H46 0.9181 0.2930 0.3334
H47 0.9596 0.6666 0.0847
H48 0.9596 0.7930 0.8749
```

## Properties
Space-group type: Ia-3d
DFT total energy, eV/atom: -3.898
Magnetic moment, μB/cell: 0.0
V, Å³/atom: 10.57

---

Here is a relaxed structure of BeAsP2 from Alexandria. Energies are from PBE.

Geometry as CIF:
```
data_BeAsP2
_cell_length_a 4.2448
_cell_length_b 4.2448
_cell_length_c 4.2448
_cell_angle_alpha 110.67
_cell_angle_beta 110.67
_cell_angle_gamma 107.10
_symmetry_space_group_name_H-M 'P 1'
_symmetry_Int_Tables_number 1
loop_
_symmetry_equiv_pos_as_xyz
'x,y,z'
loop_
_atom_site_label
_atom_site_fract_x
_atom_site_fract_y
_atom_site_fract_z
Be1 0.0000 0.0000 0.0000
As1 0.7500 0.2500 0.5000
P1 0.2500 0.7500 0.5000
P2 0.5000 0.5000 0.0000
```

## Properties
Space-group type: I-4m2
DFT total energy, eV/atom: -4.122
Formation enthalpy at 0 K, eV per atom: 0.677
Magnetic moment, μB/cell: 0.0
V, Å³/atom: 14.70

---

Here is a relaxed structure of Na2LiSn3 from Alexandria. Energies are from PBE.

Geometry as CIF:
```
data_Na2LiSn3
_cell_length_a 6.1492
_cell_length_b 6.1492
_cell_length_c 8.6090
_cell_angle_alpha 102.74
_cell_angle_beta 102.74
_cell_angle_gamma 90.27
_symmetry_space_group_name_H-M 'P 1'
_symmetry_Int_Tables_number 1
loop_
_symmetry_equiv_pos_as_xyz
'x,y,z'
loop_
_atom_site_label
_atom_site_fract_x
_atom_site_fract_y
_atom_site_fract_z
Na1 0.1239 0.6343 0.8785
Na2 0.3657 0.8761 0.6215
Na3 0.6343 0.1239 0.3785
Na4 0.8761 0.3657 0.1215
Li1 0.0885 0.9115 0.2500
Li2 0.9115 0.0885 0.7500
Sn1 0.1719 0.3351 0.4798
Sn2 0.3351 0.1719 0.9798
Sn3 0.4187 0.5813 0.2500
Sn4 0.5813 0.4187 0.7500
Sn5 0.6649 0.8281 0.0202
Sn6 0.8281 0.6649 0.5202
```

## Properties
Space-group type: C2/c
DFT total energy, eV/atom: -2.962
Formation enthalpy at 0 K, eV per atom: -0.202
Magnetic moment, μB/cell: 0.0
V, Å³/atom: 25.77

---

Here is a relaxed structure of Ca2RhAu from Alexandria. Energies are from PBE.

Geometry as CIF:
```
data_Ca2RhAu
_cell_length_a 7.9773
_cell_length_b 7.9773
_cell_length_c 7.9773
_cell_angle_alpha 28.20
_cell_angle_beta 28.20
_cell_angle_gamma 28.20
_symmetry_space_group_name_H-M 'P 1'
_symmetry_Int_Tables_number 1
loop_
_symmetry_equiv_pos_as_xyz
'x,y,z'
loop_
_atom_site_label
_atom_site_fract_x
_atom_site_fract_y
_atom_site_fract_z
Ca1 0.2421 0.2421 0.2421
Ca2 0.7579 0.7579 0.7579
Rh1 0.5000 0.5000 0.5000
Au1 0.0000 0.0000 0.0000
```

## Properties
Space-group type: R-3m
DFT total energy, eV/atom: -3.987
Formation enthalpy at 0 K, eV per atom: -0.329
Magnetic moment, μB/cell: 0.0
V, Å³/atom: 25.03